VASP calculation (PBE) on a relaxed Ca2BiTeC crystal.

Computed properties:
For the total energy, the calculation gives -0.1510 Ha/atom. The formation energy from raw total energies is -58 meV/atom. As for the crystal system: tetragonal. For the calculated volume, the calculation gives 124 Å³/cell.

Cell lengths 5.159, 5.159, 4.644 Å; angles 90.00, 90.00, 90.00 degrees
Space group P4/mmm (No. 123)
One atom of each set of equivalent atoms:
Ca (0.000, 0.500, 0.000) x2
Bi (0.000, 0.000, 0.500) x1
Te (0.500, 0.500, 0.500) x1
C (0.500, 0.500, 0.000) x1

VASP calculation (PBE) on a relaxed Ca2Tm2Bi2C crystal.

Computed properties:
The energy relative to the elements is -762.8 meV/atom. For the total energy, the calculation gives -0.1852 Ha/atom. As for the crystal system: tetragonal. For the calculated volume, the calculation gives 380 Å³/cell.

Cell lengths 4.821, 4.821, 16.355 Å; angles 90.00, 90.00, 90.00 degrees
Space group I4/mmm (No. 139)
One atom of each set of equivalent atoms:
Ca (0.000, 0.000, 0.159) x4
Tm (0.000, 0.500, 0.000) x4
Bi (0.000, 0.000, 0.362) x4
C (0.000, 0.000, 0.000) x2

VASP calculation (PBE) on a relaxed CaBiW2C crystal.

Computed properties:
The energy relative to the elements is 3961.5 meV/atom. For the total energy, the calculation gives -0.1559 Ha/atom. As for the crystal system: tetragonal. For the calculated volume, the calculation gives 119 Å³/cell.

Cell lengths 4.655, 4.655, 5.489 Å; angles 90.00, 90.00, 90.00 degrees
Space group P4/mmm (No. 123)
One atom of each set of equivalent atoms:
Ca (0.000, 0.000, 0.000) x1
Bi (0.000, 0.000, 0.500) x1
W (0.000, 0.500, 0.000) x2
C (0.500, 0.500, 0.500) x1

VASP calculation (PBE) on a relaxed CdBi2C crystal.

Computed properties:
The energy relative to the elements is 1381.1 meV/atom. For the total energy, the calculation gives -0.1137 Ha/atom. As for the crystal system: cubic. For the calculated volume, the calculation gives 371 Å³/cell.

Cell lengths 7.188, 7.188, 7.188 Å; angles 90.00, 90.00, 90.00 degrees
Space group Fm-3m (No. 225)
One atom of each set of equivalent atoms:
Cd (0.000, 0.000, 0.000) x4
Bi (0.250, 0.250, 0.250) x8
C (0.000, 0.000, 0.500) x4

VASP calculation (PBE) on a relaxed CdBiC3 crystal.

Computed properties:
The energy relative to the elements is 3169.3 meV/atom. For the total energy, the calculation gives -0.1222 Ha/atom. As for the crystal system: cubic. For the calculated volume, the calculation gives 95 Å³/cell.

Cell lengths 4.556, 4.556, 4.556 Å; angles 90.00, 90.00, 90.00 degrees
Space group Pm-3m (No. 221)
One atom of each set of equivalent atoms:
Cd (0.000, 0.000, 0.000) x1
Bi (0.500, 0.500, 0.500) x1
C (0.000, 0.500, 0.500) x3

VASP calculation (PBE) on a relaxed CdBi2C crystal.

Computed properties:
The energy relative to the elements is 881.9 meV/atom. For the total energy, the calculation gives -0.1321 Ha/atom. As for the crystal system: tetragonal. For the calculated volume, the calculation gives 443 Å³/cell.

Cell lengths 6.508, 6.508, 10.459 Å; angles 90.00, 90.00, 90.00 degrees
Space group I-42d (No. 122)
One atom of each set of equivalent atoms:
Cd (0.000, 0.000, 0.000) x4
Bi (0.176, 0.250, 0.625) x8
C (0.000, 0.000, 0.500) x4

VASP calculation (PBE) on a relaxed CdBiC3 crystal.

Computed properties:
The energy relative to the elements is 3048.0 meV/atom. For the total energy, the calculation gives -0.1266 Ha/atom. As for the crystal system: cubic. For the calculated volume, the calculation gives 83 Å³/cell.

Cell lengths 4.359, 4.359, 4.359 Å; angles 90.00, 90.00, 90.00 degrees
Space group Pm-3m (No. 221)
One atom of each set of equivalent atoms:
Cd (0.000, 0.000, 0.000) x1
Bi (0.500, 0.500, 0.500) x1
C (0.000, 0.000, 0.500) x3

VASP calculation (PBE) on a relaxed CdBi3C crystal.

Computed properties:
The energy relative to the elements is 1968.4 meV/atom. For the total energy, the calculation gives -0.0878 Ha/atom. As for the crystal system: cubic. For the calculated volume, the calculation gives 183 Å³/cell.

Cell lengths 5.675, 5.675, 5.675 Å; angles 90.00, 90.00, 90.00 degrees
Space group Pm-3m (No. 221)
One atom of each set of equivalent atoms:
Cd (0.000, 0.000, 0.000) x1
Bi (0.000, 0.000, 0.500) x3
C (0.500, 0.500, 0.500) x1

VASP calculation (PBE) on a relaxed CdBi3C crystal.

Computed properties:
The energy relative to the elements is 907.4 meV/atom. For the total energy, the calculation gives -0.1267 Ha/atom. As for the crystal system: cubic. For the calculated volume, the calculation gives 130 Å³/cell.

Cell lengths 5.060, 5.060, 5.060 Å; angles 90.00, 90.00, 90.00 degrees
Space group Pm-3m (No. 221)
One atom of each set of equivalent atoms:
Cd (0.000, 0.000, 0.000) x1
Bi (0.000, 0.500, 0.500) x3
C (0.500, 0.500, 0.500) x1

VASP calculation (PBE) on a relaxed CdFeBi2C crystal.

Computed properties:
The energy relative to the elements is 1424.6 meV/atom. For the total energy, the calculation gives -0.1414 Ha/atom. As for the crystal system: tetragonal. For the calculated volume, the calculation gives 109 Å³/cell.

Cell lengths 5.122, 5.122, 4.157 Å; angles 90.00, 90.00, 90.00 degrees
Space group P4/mmm (No. 123)
One atom of each set of equivalent atoms:
Cd (0.000, 0.000, 0.000) x1
Fe (0.500, 0.500, 0.000) x1
Bi (0.000, 0.500, 0.500) x2
C (0.000, 0.000, 0.500) x1

VASP calculation (PBE) on a relaxed CdGaBi2C crystal.

Computed properties:
The energy relative to the elements is 1837.4 meV/atom. For the total energy, the calculation gives -0.0863 Ha/atom. As for the crystal system: tetragonal. For the calculated volume, the calculation gives 166 Å³/cell.

Cell lengths 5.692, 5.692, 5.125 Å; angles 90.00, 90.00, 90.00 degrees
Space group P4/mmm (No. 123)
One atom of each set of equivalent atoms:
Cd (0.000, 0.000, 0.000) x1
Ga (0.000, 0.000, 0.500) x1
Bi (0.000, 0.500, 0.000) x2
C (0.500, 0.500, 0.500) x1

VASP calculation (PBE) on a relaxed CdBiMo2C crystal.

Computed properties:
The energy relative to the elements is 3066.0 meV/atom. For the total energy, the calculation gives -0.1496 Ha/atom. As for the crystal system: tetragonal. For the calculated volume, the calculation gives 171 Å³/cell.

Cell lengths 5.516, 5.516, 5.619 Å; angles 90.00, 90.00, 90.00 degrees
Space group P4/mmm (No. 123)
One atom of each set of equivalent atoms:
Cd (0.000, 0.000, 0.000) x1
Bi (0.000, 0.000, 0.500) x1
Mo (0.000, 0.500, 0.500) x2
C (0.500, 0.500, 0.000) x1

Q: Which of these has the highest calculated volume?
A: number 6

What did the eighth record say?
VASP calculation (PBE) on a relaxed CdBi3C crystal.

Computed properties:
The energy relative to the elements is 1968.4 meV/atom. For the total energy, the calculation gives -0.0878 Ha/atom. As for the crystal system: cubic. For the calculated volume, the calculation gives 183 Å³/cell.

Cell lengths 5.675, 5.675, 5.675 Å; angles 90.00, 90.00, 90.00 degrees
Space group Pm-3m (No. 221)
One atom of each set of equivalent atoms:
Cd (0.000, 0.000, 0.000) x1
Bi (0.000, 0.000, 0.500) x3
C (0.500, 0.500, 0.500) x1